(1)
Computed, not measured: a relaxed structure of BaCdRh3 at the PBE-GGA level of DFT.

Cell lengths 5.0696, 5.0696, 5.0696 Å; angles 90.00, 90.00, 90.00 degrees
Space group Pm-3m (No. 221)
Unique sites:
Ba1 0.0000 0.0000 0.0000 x1
Cd1 0.5000 0.5000 0.5000 x1
Rh1 0.0000 0.0000 0.5000 x3

Summary:
**ΔE to the lowest computed polymorph**: 850.8 meV per atom
**Energy of formation**: 1.59 eV per atom
**D(E_F)**: 0.834 states/eV/atom

***

(2)
Computed, not measured: a relaxed structure of Ta2AgPb at the PBE-GGA level of DFT.

Cell lengths 7.6592, 7.6592, 5.7398 Å; angles 90.00, 90.00, 90.00 degrees
Space group I-42d (No. 122)
Unique sites:
Ta1 0.2398 0.2500 0.1250 x8
Ag1 0.0000 0.0000 0.0000 x4
Pb1 0.0000 0.0000 0.5000 x4

Summary:
**Energy of formation**: 0.88 eV per atom
**D(E_F)**: 0.684 states/eV/atom

***

(3)
Computed, not measured: a relaxed structure of ScReOs2 at the PBE-GGA level of DFT.

Cell lengths 3.0566, 4.5594, 8.9934 Å; angles 90.00, 90.00, 90.00 degrees
Space group Cmm2 (No. 35)
Unique sites:
Sc1 0.0000 0.0000 0.0000 x2
Re1 0.0000 0.5000 0.2643 x2
Os1 0.0000 0.0000 0.5027 x2
Os2 0.0000 0.5000 0.7516 x2

Summary:
**Energy of formation**: 0.33 eV per atom
**D(E_F)**: 1.038 states/eV/atom

***

(4)
Computed, not measured: a relaxed structure of USnAuS at the PBE-GGA level of DFT.

Cell lengths 4.7112, 4.7112, 7.9576 Å; angles 90.00, 90.00, 90.00 degrees
Space group P4/nmm (No. 129, origin choice 2)
Unique sites:
U1 0.2500 0.2500 0.1696 x2
Sn1 0.2500 0.2500 0.6886 x2
Au1 0.2500 0.7500 0.5000 x2
S1 0.2500 0.7500 0.0000 x2

Summary:
**Raw formation energy**: -0.588 eV per atom
**D(E_F)**: 2.334 states/eV/atom

***

(5)
Computed, not measured: a relaxed structure of Pt2SeBr at the PBE-GGA level of DFT.

Cell lengths 3.3318, 3.4169, 7.0513 Å; angles 90.00, 90.00, 90.00 degrees
Space group Pmmm (No. 47)
Unique sites:
Pt1 0.0000 0.0000 0.1915 x2
Se1 0.5000 0.5000 0.0000 x1
Br1 0.5000 0.0000 0.5000 x1

Summary:
**ΔE to the lowest computed polymorph**: 479.0 meV per atom
**Raw formation energy**: 0.268 eV per atom
**D(E_F)**: 0.738 states/eV/atom

***

(6)
Computed, not measured: a relaxed structure of K3Sr5Br12 at the PBE-GGA level of DFT.

Cell lengths 19.0662, 19.0662, 19.0662 Å; angles 90.00, 90.00, 90.00 degrees
Space group Ia-3d (No. 230)
Unique sites:
K1 0.0000 0.2500 0.1250 x24
Sr1 0.0000 0.0000 0.0000 x16
Sr2 0.0000 0.2500 0.3750 x24
Br1 0.0247 0.0607 0.6489 x96

Summary:
**Raw formation energy**: -1.867 eV per atom
**D(E_F)**: 0.066 states/eV/atom

***

(7)
Computed, not measured: a relaxed structure of Tb4Nd7Mg at the PBE-GGA level of DFT.

Cell lengths 11.2882, 5.6164, 13.2761 Å; angles 90.00, 105.72, 90.00 degrees
Space group C2/m (No. 12)
Unique sites:
Tb1 0.0436 0.0000 0.2783 x4
Tb2 0.0909 0.5000 0.1285 x4
Nd1 0.0000 0.0000 0.5000 x2
Nd2 0.1393 0.0000 0.9701 x4
Nd3 0.1611 0.5000 0.7539 x4
Nd4 0.2248 0.5000 0.3973 x4
Mg1 0.0000 0.5000 0.5000 x2

Summary:
**Energy of formation**: 0.19 eV per atom
**D(E_F)**: 1.375 states/eV/atom

***

(8)
Computed, not measured: a relaxed structure of BaAl2Pd at the PBE-GGA level of DFT.

Cell lengths 16.3743, 7.2673, 6.4577 Å; angles 90.00, 90.00, 90.00 degrees
Space group Pnma (No. 62)
Unique sites:
Ba1 0.1007 0.2500 0.1743 x4
Ba2 0.1296 0.7500 0.0028 x4
Al1 0.0539 0.0662 0.6533 x8
Al2 0.2072 0.5598 0.5084 x8
Pd1 0.0708 0.7500 0.4898 x4
Pd2 0.1930 0.2500 0.7284 x4

Summary:
**Energy of formation**: -0.52 eV per atom
**D(E_F)**: 0.643 states/eV/atom

***

(9)
Computed, not measured: a relaxed structure of SrMgSn4 at the PBE-GGA level of DFT.

Cell lengths 8.9107, 8.9107, 8.9107 Å; angles 90.00, 90.00, 90.00 degrees
Space group F-43m (No. 216)
Unique sites:
Sr1 0.0000 0.0000 0.0000 x4
Mg1 0.2500 0.2500 0.7500 x4
Sn1 0.1244 0.1244 0.3756 x16

Summary:
**ΔE to the lowest computed polymorph**: 0.0 meV per atom
**Energy of formation**: -0.21 eV per atom
**D(E_F)**: 1.016 states/eV/atom

***

(10)
Computed, not measured: a relaxed structure of Ac2PmPrTe5 at the PBE-GGA level of DFT.

Cell lengths 5.6281, 5.6281, 11.9377 Å; angles 90.00, 90.00, 90.00 degrees
Space group P4/mmm (No. 123)
Unique sites:
Ac1 0.0000 0.0000 0.1895 x2
Pm1 0.5000 0.5000 0.0000 x1
Pr1 0.5000 0.5000 0.5000 x1
Te1 0.0000 0.0000 0.5000 x1
Te2 0.0000 0.5000 0.0000 x2
Te3 0.5000 0.5000 0.2525 x2

Summary:
**Raw formation energy**: -0.960 eV per atom
**D(E_F)**: 0.759 states/eV/atom

***

(11)
Computed, not measured: a relaxed structure of BaZr2Pt at the PBE-GGA level of DFT.

Cell lengths 4.3169, 4.3169, 10.6592 Å; angles 90.00, 90.00, 90.00 degrees
Space group I4/mmm (No. 139)
Unique sites:
Ba1 0.0000 0.0000 0.0000 x2
Zr1 0.0000 0.5000 0.2500 x4
Pt1 0.0000 0.0000 0.5000 x2

Summary:
**ΔE to the lowest computed polymorph**: 496.5 meV per atom
**Energy of formation**: 0.21 eV per atom
**D(E_F)**: 1.130 states/eV/atom

***

(12)
Computed, not measured: a relaxed structure of TePbI2N at the PBE-GGA level of DFT.

Cell lengths 5.3497, 5.3497, 5.2327 Å; angles 90.00, 90.00, 90.00 degrees
Space group P4/mmm (No. 123)
Unique sites:
Te1 0.0000 0.0000 0.0000 x1
Pb1 0.5000 0.5000 0.0000 x1
I1 0.0000 0.5000 0.5000 x2
N1 0.0000 0.0000 0.5000 x1

Summary:
**ΔE to the lowest computed polymorph**: 147.7 meV per atom
**Raw formation energy**: 0.689 eV per atom
**D(E_F)**: 0.827 states/eV/atom

***

(13)
Computed, not measured: a relaxed structure of La3SbTe at the PBE-GGA level of DFT.

Cell lengths 4.4743, 9.4870, 10.8912 Å; angles 108.80, 90.19, 103.55 degrees
Space group P-1 (No. 2)
Unique sites:
La1 0.0162 0.0322 0.1803 x2
La2 0.1827 0.3621 0.5648 x2
La3 0.3468 0.6934 0.9437 x2
Sb1 0.3675 0.7358 0.6528 x2
Te1 0.1599 0.3237 0.8428 x2

Summary:
**ΔE to the lowest computed polymorph**: 0.0 meV per atom
**Raw formation energy**: -0.836 eV per atom
**D(E_F)**: 0.857 states/eV/atom

***

(14)
Computed, not measured: a relaxed structure of LaPmLu2 at the PBE-GGA level of DFT.

Cell lengths 5.1653, 5.1653, 4.8597 Å; angles 90.00, 90.00, 90.00 degrees
Space group P4/mmm (No. 123)
Unique sites:
La1 0.0000 0.0000 0.0000 x1
Pm1 0.5000 0.5000 0.0000 x1
Lu1 0.0000 0.5000 0.5000 x2

Summary:
**ΔE to the lowest computed polymorph**: 6.6 meV per atom
**Energy of formation**: 0.03 eV per atom
**D(E_F)**: 1.616 states/eV/atom

***

(15)
Computed, not measured: a relaxed structure of Cs3ZrSi at the PBE-GGA level of DFT.

Cell lengths 6.9970, 6.9970, 6.9970 Å; angles 90.00, 90.00, 90.00 degrees
Space group Pm-3m (No. 221)
Unique sites:
Cs1 0.0000 0.0000 0.5000 x3
Zr1 0.0000 0.0000 0.0000 x1
Si1 0.5000 0.5000 0.5000 x1

Summary:
**Raw formation energy**: 1.407 eV per atom
**D(E_F)**: 0.555 states/eV/atom

***

(16)
Computed, not measured: a relaxed structure of SrGa2SbBr at the PBE-GGA level of DFT.

Cell lengths 5.4863, 5.4863, 5.8027 Å; angles 90.00, 90.00, 90.00 degrees
Space group P4/mmm (No. 123)
Unique sites:
Sr1 0.0000 0.0000 0.0000 x1
Ga1 0.0000 0.5000 0.5000 x2
Sb1 0.5000 0.5000 0.0000 x1
Br1 0.0000 0.0000 0.5000 x1

Summary:
**Raw formation energy**: -0.144 eV per atom
**D(E_F)**: 0.094 states/eV/atom

***

(17)
Computed, not measured: a relaxed structure of Rb4Nd3SbO8 at the PBE-GGA level of DFT.

Cell lengths 7.2892, 7.2892, 19.7925 Å; angles 90.00, 90.00, 120.00 degrees
Space group R-3m (No. 166, hexagonal axes)
Unique sites:
Rb1 0.0000 0.0000 0.0000 x3
Rb2 0.0000 0.5000 0.0000 x9
Nd1 0.0000 0.5000 0.5000 x9
Sb1 0.0000 0.0000 0.5000 x3
O1 0.0000 0.0000 0.2269 x6
O2 0.0020 0.5010 0.2275 x18

Summary:
**Raw formation energy**: -2.218 eV per atom
**D(E_F)**: 0.000 states/eV/atom

***

(18)
Computed, not measured: a relaxed structure of Hf5Si2H at the PBE-GGA level of DFT.

Cell lengths 8.8476, 8.8726, 7.4216 Å; angles 90.00, 90.00, 90.00 degrees
Space group Fmm2 (No. 42)
Unique sites:
Hf1 0.0000 0.0000 0.0000 x4
Hf2 0.0000 0.2477 0.2523 x8
Hf3 0.2478 0.0000 0.2524 x8
Si1 0.2500 0.2500 0.0040 x8
H1 0.0000 0.0000 0.7218 x4

Summary:
**E**: -8.219 eV/atom
**D(E_F)**: 0.918 states/eV/atom

***

(19)
Computed, not measured: a relaxed structure of AcHo2Zn2In2 at the PBE-GGA level of DFT.

Cell lengths 4.7809, 4.7809, 28.5335 Å; angles 90.00, 90.00, 120.00 degrees
Space group R-3m (No. 166, hexagonal axes)
Unique sites:
Ac1 0.0000 0.0000 0.0000 x3
Ho1 0.0000 0.0000 0.1323 x6
Zn1 0.0000 0.0000 0.4244 x6
In1 0.0000 0.0000 0.2558 x6

Summary:
**Energy of formation**: -0.29 eV per atom
**D(E_F)**: 0.465 states/eV/atom

***

(20)
Computed, not measured: a relaxed structure of U2TcB10 at the PBE-GGA level of DFT.

Cell lengths 5.6695, 11.3024, 4.1197 Å; angles 90.00, 90.00, 90.00 degrees
Space group Pbam (No. 55)
Unique sites:
U1 0.2216 0.1314 0.0000 x4
Tc1 0.0000 0.5000 0.5000 x2
B1 0.0653 0.3055 0.5000 x4
B2 0.1163 0.9579 0.5000 x4
B3 0.1243 0.8025 0.5000 x4
B4 0.2282 0.3800 0.1974 x8

Summary:
**Energy of formation**: -0.34 eV per atom
**D(E_F)**: 0.728 states/eV/atom